No. 1
## Al3Ag4 (GGA-PBE)

Data for Al3Ag4 after structural relaxation.

Cell: 5.189 5.189 5.263 Å, 90.00 90.00 120.00°
Element x y z (fractional)
Al  0.500  0.000  0.000
Ag  0.000  0.000  0.749
Ag  0.333  0.667  0.500
Ag  0.667  0.333  0.500
Ag  0.000  0.000  0.251
Al  0.000  0.500  0.000
Al  0.500  0.500  0.000

Values from the calculation:
- Polymorph energy (0 for the lowest one): 138.1 meV per atom
- Fermi-level density of states: 3.86 states/eV per cell
- Energy of formation from the pure elements: 0.087 eV/atom



No. 2
## CrTcCl2 (GGA-PBE)

Data for CrTcCl2 after structural relaxation.

Cell: 5.215 5.215 6.343 Å, 65.72 65.72 90.00°
Element x y z (fractional)
Cl  0.875  0.855  0.750
Tc  0.750  0.250  0.500
Cl  0.605  0.125  0.250
Tc  0.000  0.000  0.000
Cr  0.500  0.500  0.000
Cl  0.375  0.395  0.750
Cr  0.250  0.750  0.500
Cl  0.145  0.625  0.250

Values from the calculation:
- Polymorph energy (0 for the lowest one): 902.5 meV per atom
- Uncorrected formation energy: 0.712 eV/atom
- Fermi-level density of states: 3.91 states/eV per cell



No. 3
## LiBi2RuO8 (GGA-PBE)

Data for LiBi2RuO8 after structural relaxation.

Cell: 4.845 4.822 6.716 Å, 90.00 90.00 90.19°
Element x y z (fractional)
O  0.821  0.188  0.782
O  0.300  0.293  0.500
O  0.700  0.707  0.500
O  0.821  0.188  0.218
Ru  0.000  0.000  0.000
Bi  0.500  0.500  0.744
O  0.179  0.812  0.782
Bi  0.500  0.500  0.256
O  0.707  0.717  0.000
Li  0.000  0.000  0.500
O  0.179  0.812  0.218
O  0.293  0.283  0.000

Values from the calculation:
- Uncorrected formation energy: -0.932 eV/atom
- Fermi-level density of states: 4.90 states/eV per cell



> Which value of Fermi-level density of states does entry 3 give?

4.90 states/eV per cell



> The highest Fermi-level density of states belongs to which entry?

LiBi2RuO8



> Which of these has the lowest Fermi-level density of states?

Al3Ag4